An optimized crystal structure of Ta2ZnRh. Source: Alexandria, functional GGA-PBEsol.

## Properties
DFT total energy = -8.885 eV per atom
V = 61.7 Å³ per cell
formation enthalpy at 0 K = -0.179 eV per atom
total magnetization = 0.00 μB/cell

Cell: 5.0248 5.0248 5.0248 Å, 139.47 130.61 65.74°
Sites, in units of the cell vectors:
Ta 0.2416 0.2416 0.0000
Ta 0.7584 0.7584 0.0000
Zn 0.5000 0.0000 0.5000
Rh 0.0000 0.5000 0.5000



An optimized crystal structure of TaZnRh2. Source: Alexandria, functional GGA-PBEsol.

## Properties
DFT total energy = -8.186 eV per atom
V = 57.0 Å³ per cell
formation enthalpy at 0 K = -0.584 eV per atom
total magnetization = 0.00 μB/cell

Cell: 4.5087 4.5087 4.5087 Å, 126.70 126.70 78.74°
Sites, in units of the cell vectors:
Ta 0.0000 0.0000 0.0000
Zn 0.5000 0.5000 0.0000
Rh 0.2500 0.7500 0.5000
Rh 0.7500 0.2500 0.5000